The following is a DFT calculation (PBE) of a relaxed La3PrNd4 crystal.

Calculated values
Offset from the most stable computed form (meV/atom): 0
V (A^3/atom): 36.087
M_tot (μB per formula unit): 0.0
VASP energy (eV/f.u.): -38.63
Space-group type: Pmn2_1
ΔE_f (meV per atom): 1

Structure (CIF):
```
data_La3PrNd4
_cell_length_a 7.453
_cell_length_b 6.456
_cell_length_c 12.001
_cell_angle_alpha 90.00
_cell_angle_beta 90.00
_cell_angle_gamma 90.00
_symmetry_space_group_name_H-M 'P 1'
_symmetry_Int_Tables_number 1
_symmetry_space_group_name_Hall 'P 1'
loop_
_atom_site_label
_atom_site_type_symbol
_atom_site_fract_x
_atom_site_fract_y
_atom_site_fract_z
_atom_site_occupancy
La1 La 0.689 0.831 0.000 1
La2 La 0.939 0.999 0.251 1
La3 La 0.439 0.001 0.249 1
La4 La 0.189 0.169 0.500 1
La5 La 0.439 0.001 0.751 1
La6 La 0.939 0.999 0.749 1
Pr1 Pr 0.940 0.332 0.000 1
Pr2 Pr 0.440 0.668 0.500 1
Nd1 Nd 0.189 0.832 0.000 1
Nd2 Nd 0.439 0.332 0.000 1
Nd3 Nd 0.190 0.501 0.249 1
Nd4 Nd 0.690 0.499 0.251 1
Nd5 Nd 0.939 0.668 0.500 1
Nd6 Nd 0.689 0.168 0.500 1
Nd7 Nd 0.690 0.499 0.749 1
Nd8 Nd 0.190 0.501 0.751 1
```

The following is a DFT calculation (PBE) of a relaxed La3Pr2Nd4 crystal.

Calculated values
Offset from the most stable computed form (meV/atom): 46
V (A^3/atom): 36.520
M_tot (μB per formula unit): 0.0
VASP energy (eV/f.u.): -42.87
Space-group type: P3m1
ΔE_f (meV per atom): 60

Structure (CIF):
```
data_La3Pr2Nd4
_cell_length_a 3.696
_cell_length_b 3.696
_cell_length_c 27.784
_cell_angle_alpha 90.00
_cell_angle_beta 90.00
_cell_angle_gamma 120.00
_symmetry_space_group_name_H-M 'P 1'
_symmetry_Int_Tables_number 1
_symmetry_space_group_name_Hall 'P 1'
loop_
_atom_site_label
_atom_site_type_symbol
_atom_site_fract_x
_atom_site_fract_y
_atom_site_fract_z
_atom_site_occupancy
La1 La 0.000 0.000 0.984 1
La2 La 0.000 0.000 0.322 1
La3 La 0.667 0.333 0.653 1
Pr1 Pr 0.667 0.333 0.092 1
Pr2 Pr 0.667 0.333 0.871 1
Nd1 Nd 0.000 0.000 0.541 1
Nd2 Nd 0.667 0.333 0.435 1
Nd3 Nd 0.667 0.333 0.216 1
Nd4 Nd 0.000 0.000 0.763 1
```

The following is a DFT calculation (PBE) of a relaxed La4Pr3Nd crystal.

Calculated values
Offset from the most stable computed form (meV/atom): 0
V (A^3/atom): 36.332
M_tot (μB per formula unit): 0.0
VASP energy (eV/f.u.): -38.73
Space-group type: Pmna
ΔE_f (meV per atom): 10

Structure (CIF):
```
data_La4Pr3Nd
_cell_length_a 7.414
_cell_length_b 7.412
_cell_length_c 10.578
_cell_angle_alpha 90.00
_cell_angle_beta 90.00
_cell_angle_gamma 90.00
_symmetry_space_group_name_H-M 'P 1'
_symmetry_Int_Tables_number 1
_symmetry_space_group_name_Hall 'P 1'
loop_
_atom_site_label
_atom_site_type_symbol
_atom_site_fract_x
_atom_site_fract_y
_atom_site_fract_z
_atom_site_occupancy
Pr1 Pr 0.000 0.310 0.000 1
Pr2 Pr 0.251 0.061 0.750 1
Pr3 Pr 0.749 0.561 0.750 1
Pr4 Pr 0.000 0.810 0.500 1
Pr5 Pr 0.749 0.561 0.250 1
Pr6 Pr 0.251 0.061 0.250 1
Nd1 Nd 0.500 0.811 0.000 1
Nd2 Nd 0.500 0.311 0.500 1
La1 La 0.000 0.811 0.000 1
La2 La 0.500 0.310 0.000 1
La3 La 0.749 0.060 0.750 1
La4 La 0.251 0.560 0.750 1
La5 La 0.500 0.810 0.500 1
La6 La 0.000 0.311 0.500 1
La7 La 0.251 0.560 0.250 1
La8 La 0.749 0.060 0.250 1
```